VZnPCl2 after structural relaxation. Source: Alexandria, functional PBE.

The density comes out at 3.51 Mg/m³. The value obtained for the offset from the most stable computed form is 0.000 eV per atom. The volume comes out at 20.7 A^3/atom. For the energy relative to the elements, uncorrected, the calculation gives -0.114 eV/atom.

It has space group P4/mmm (No. 123), with a = 4.623 Å, b = 4.623 Å, c = 4.834 Å, α = 90.00°, β = 90.00° and γ = 90.00°. Symmetry generates all atoms from V at (0.000, 0.000, 0.000), Zn at (0.500, 0.500, 0.500), P at (0.000, 0.000, 0.500) and Cl at (0.000, 0.500, 0.000).

---

ZrVPCl2 after structural relaxation. Source: Alexandria, functional PBE.

The density comes out at 3.88 Mg/m³. The value obtained for the offset from the most stable computed form is 0.034 eV per atom. The volume comes out at 20.9 A^3/atom. For the energy relative to the elements, uncorrected, the calculation gives -0.109 eV/atom.

It has space group P4/mmm (No. 123), with a = 4.544 Å, b = 4.544 Å, c = 5.053 Å, α = 90.00°, β = 90.00° and γ = 90.00°. Symmetry generates all atoms from Zr at (0.000, 0.000, 0.000), V at (0.500, 0.500, 0.500), P at (0.500, 0.500, 0.000) and Cl at (0.000, 0.500, 0.500).

---

ZrVP2Cl after structural relaxation. Source: Alexandria, functional PBE.

The density comes out at 3.21 Mg/m³. The value obtained for the offset from the most stable computed form is 0.484 eV per atom. The volume comes out at 24.8 A^3/atom. For the energy relative to the elements, uncorrected, the calculation gives 0.491 eV/atom.

It has space group P4/mmm (No. 123), with a = 5.043 Å, b = 5.043 Å, c = 4.869 Å, α = 90.00°, β = 90.00° and γ = 90.00°. Symmetry generates all atoms from Zr at (0.000, 0.000, 0.000), V at (0.500, 0.500, 0.500), P at (0.000, 0.500, 0.000) and Cl at (0.000, 0.000, 0.500).

---

ZrVPCl2 after structural relaxation. Source: Alexandria, functional PBE.

The density comes out at 3.20 Mg/m³. The value obtained for the offset from the most stable computed form is 0.000 eV per atom. The volume comes out at 25.3 A^3/atom. For the energy relative to the elements, uncorrected, the calculation gives -0.144 eV/atom.

It has space group P4/mmm (No. 123), with a = 4.921 Å, b = 4.921 Å, c = 5.227 Å, α = 90.00°, β = 90.00° and γ = 90.00°. Symmetry generates all atoms from Zr at (0.000, 0.000, 0.000), V at (0.500, 0.500, 0.500), P at (0.000, 0.000, 0.500) and Cl at (0.000, 0.500, 0.000).

---

ZrVP2Cl after structural relaxation. Source: Alexandria, functional PBE.

The density comes out at 4.17 Mg/m³. The value obtained for the offset from the most stable computed form is 0.000 eV per atom. The volume comes out at 19.1 A^3/atom. For the energy relative to the elements, uncorrected, the calculation gives 0.008 eV/atom.

It has space group P4/mmm (No. 123), with a = 4.594 Å, b = 4.594 Å, c = 4.518 Å, α = 90.00°, β = 90.00° and γ = 90.00°. Symmetry generates all atoms from Zr at (0.000, 0.000, 0.000), V at (0.500, 0.500, 0.500), P at (0.000, 0.500, 0.500) and Cl at (0.500, 0.500, 0.000).

---

PWCl2 after structural relaxation. Source: Alexandria, functional PBE.

The density comes out at 5.84 Mg/m³. The value obtained for the offset from the most stable computed form is 0.472 eV per atom. The volume comes out at 20.3 A^3/atom. For the energy relative to the elements, uncorrected, the calculation gives 0.156 eV/atom.

It has space group P4mm (No. 99), with a = 2.978 Å, b = 2.978 Å, c = 9.164 Å, α = 90.00°, β = 90.00° and γ = 90.00°. Symmetry generates all atoms from P at (0.000, 0.000, 0.000), W at (0.500, 0.500, 0.152), Cl at (0.000, 0.000, 0.333) and Cl at (0.500, 0.500, 0.682).

---

PWCl2 after structural relaxation. Source: Alexandria, functional PBE.

The density comes out at 5.13 Mg/m³. The value obtained for the offset from the most stable computed form is 0.275 eV per atom. The volume comes out at 23.1 A^3/atom. For the energy relative to the elements, uncorrected, the calculation gives -0.040 eV/atom.

It has space group Immm (No. 71), with a = 2.986 Å, b = 4.093 Å, c = 15.120 Å, α = 90.00°, β = 90.00° and γ = 90.00°. Symmetry generates all atoms from P at (0.000, 0.000, 0.000), W at (0.000, 0.000, 0.500) and Cl at (0.000, 0.500, 0.138).

---

PWCl2 after structural relaxation. Source: Alexandria, functional PBE.

The density comes out at 5.48 Mg/m³. The value obtained for the offset from the most stable computed form is 0.665 eV per atom. The volume comes out at 21.6 A^3/atom. For the energy relative to the elements, uncorrected, the calculation gives 0.350 eV/atom.

It has space group R-3m (No. 166, hexagonal axes), with a = 2.9909 Å, b = 2.9909 Å, c = 33.5137 Å, α = 90.00°, β = 90.00° and γ = 120.00°. Symmetry generates all atoms from P at (0.0000, 0.0000, 0.0000), W at (0.0000, 0.0000, 0.5000) and Cl at (0.0000, 0.0000, 0.1130).

---

PWCl2 after structural relaxation. Source: Alexandria, functional PBE.

The density comes out at 4.92 Mg/m³. The value obtained for the offset from the most stable computed form is 0.000 eV per atom. The volume comes out at 24.1 A^3/atom. For the energy relative to the elements, uncorrected, the calculation gives -0.316 eV/atom.

It has space group Cm (No. 8), with a = 8.705 Å, b = 3.087 Å, c = 7.564 Å, α = 90.00°, β = 108.29° and γ = 90.00°. Symmetry generates all atoms from P at (0.000, 0.000, 0.000), W at (0.290, 0.000, 0.000), Cl at (0.170, 0.500, 0.731) and Cl at (0.317, 0.500, 0.269).

---

PW2Cl after structural relaxation. Source: Alexandria, functional PBE.

The density comes out at 9.73 Mg/m³. The value obtained for the offset from the most stable computed form is 0.203 eV per atom. The volume comes out at 18.5 A^3/atom. For the energy relative to the elements, uncorrected, the calculation gives 0.134 eV/atom.

It has space group P4mm (No. 99), with a = 3.035 Å, b = 3.035 Å, c = 8.045 Å, α = 90.00°, β = 90.00° and γ = 90.00°. Symmetry generates all atoms from P at (0.000, 0.000, 0.000), W at (0.000, 0.000, 0.378), W at (0.500, 0.500, 0.149) and Cl at (0.500, 0.500, 0.587).

---

PWCl3 after structural relaxation. Source: Alexandria, functional PBE.

The density comes out at 4.54 Mg/m³. The value obtained for the offset from the most stable computed form is 0.000 eV per atom. The volume comes out at 23.5 A^3/atom. For the energy relative to the elements, uncorrected, the calculation gives 0.548 eV/atom.

It has space group Pm-3m (No. 221), with a = 4.896 Å, b = 4.896 Å, c = 4.896 Å, α = 90.00°, β = 90.00° and γ = 90.00°. Symmetry generates all atoms from P at (0.000, 0.000, 0.000), W at (0.500, 0.500, 0.500) and Cl at (0.000, 0.500, 0.500).

---

PW2Cl after structural relaxation. Source: Alexandria, functional PBE.

The density comes out at 10.90 Mg/m³. The value obtained for the offset from the most stable computed form is 0.432 eV per atom. The volume comes out at 16.5 A^3/atom. For the energy relative to the elements, uncorrected, the calculation gives 0.363 eV/atom.

It has space group P4/mmm (No. 123), with a = 3.146 Å, b = 3.146 Å, c = 6.683 Å, α = 90.00°, β = 90.00° and γ = 90.00°. Symmetry generates all atoms from P at (0.000, 0.000, 0.000), W at (0.500, 0.500, 0.181) and Cl at (0.000, 0.000, 0.500).